No. 1
{
  "formula": "La2ScTcBi",
  "functional": "PBE",
  "state": "relaxed",
  "formation_energy_mev_per_atom": -296,
  "vol_a3_per_cell": 149.8,
  "lattice_angstrom": [[5.385, 0.000, 0.000], [0.000, 5.385, 0.000], [0.000, 0.000, 5.166]],
  "species": ["La", "La", "Sc", "Tc", "Bi"],
  "frac_coords": [[0.000, 0.500, 0.000], [0.500, 0.000, 0.000], [0.000, 0.000, 0.500], [0.000, 0.000, 0.000], [0.500, 0.500, 0.500]]
}

***

No. 2
{
  "formula": "LaSc2BiTe",
  "functional": "PBE",
  "state": "relaxed",
  "vol_a3_per_cell": 169.0,
  "raw_formation_energy_ev_per_atom": -0.242,
  "lattice_angstrom": [[5.295, 0.000, 0.000], [0.000, 5.295, 0.000], [0.000, 0.000, 6.028]],
  "species": ["La", "Sc", "Sc", "Bi", "Te"],
  "frac_coords": [[0.000, 0.000, 0.000], [0.000, 0.500, 0.500], [0.500, 0.000, 0.500], [0.500, 0.500, 0.000], [0.000, 0.000, 0.500]]
}

***

No. 3
{
  "formula": "La2ThScBi4",
  "functional": "PBE",
  "state": "relaxed",
  "formation_energy_mev_per_atom": -828,
  "vol_a3_per_cell": 271.6,
  "lattice_angstrom": [[7.895, 0.000, 0.000], [0.000, 4.587, 0.000], [-2.658, 0.000, 7.498]],
  "species": ["La", "La", "Th", "Sc", "Bi", "Bi", "Bi", "Bi"],
  "frac_coords": [[0.000, 0.000, 0.000], [0.500, 0.500, 0.000], [0.000, 0.500, 0.500], [0.500, 0.000, 0.500], [0.256, 0.000, 0.738], [0.266, 0.500, 0.270], [0.734, 0.500, 0.730], [0.744, 0.000, 0.262]]
}

***

No. 4
{
  "formula": "LaTh2ScBi4",
  "functional": "PBE",
  "state": "relaxed",
  "formation_energy_mev_per_atom": -685,
  "vol_a3_per_cell": 266.9,
  "lattice_angstrom": [[7.876, 0.000, 0.000], [0.000, 4.566, 0.000], [-2.650, 0.000, 7.423]],
  "species": ["La", "Th", "Th", "Sc", "Bi", "Bi", "Bi", "Bi"],
  "frac_coords": [[0.000, 0.000, 0.000], [0.500, 0.000, 0.500], [0.500, 0.500, 0.000], [0.000, 0.500, 0.500], [0.237, 0.000, 0.735], [0.245, 0.500, 0.259], [0.755, 0.500, 0.741], [0.763, 0.000, 0.265]]
}

***

No. 5
{
  "formula": "La2TmScBi4",
  "functional": "PBE",
  "state": "relaxed",
  "formation_energy_mev_per_atom": -874,
  "vol_a3_per_cell": 263.1,
  "lattice_angstrom": [[7.806, 0.000, 0.000], [0.000, 4.549, 0.000], [-2.646, 0.000, 7.412]],
  "species": ["La", "La", "Tm", "Sc", "Bi", "Bi", "Bi", "Bi"],
  "frac_coords": [[0.000, 0.000, 0.000], [0.000, 0.500, 0.500], [0.500, 0.000, 0.500], [0.500, 0.500, 0.000], [0.270, 0.500, 0.252], [0.273, 0.000, 0.763], [0.727, 0.000, 0.237], [0.730, 0.500, 0.748]]
}

***

No. 6
{
  "formula": "LaTm2ScBi4",
  "functional": "PBE",
  "state": "relaxed",
  "formation_energy_mev_per_atom": -785,
  "vol_a3_per_cell": 253.1,
  "lattice_angstrom": [[-3.172, 3.172, 6.289], [3.172, -3.172, 6.289], [3.172, 3.172, -6.289]],
  "species": ["La", "Tm", "Tm", "Sc", "Bi", "Bi", "Bi", "Bi"],
  "frac_coords": [[0.000, 0.000, 0.000], [0.250, 0.750, 0.500], [0.750, 0.250, 0.500], [0.500, 0.500, 0.000], [0.000, 0.500, 0.500], [0.260, 0.260, 0.000], [0.500, 0.000, 0.500], [0.740, 0.740, 0.000]]
}

***

No. 7
{
  "formula": "LaY2ScBi4",
  "functional": "PBE",
  "state": "relaxed",
  "formation_energy_mev_per_atom": -848,
  "vol_a3_per_cell": 256.9,
  "lattice_angstrom": [[7.769, 0.000, 0.000], [0.000, 4.502, 0.000], [-2.598, 0.000, 7.345]],
  "species": ["La", "Y", "Y", "Sc", "Bi", "Bi", "Bi", "Bi"],
  "frac_coords": [[0.000, 0.000, 0.000], [0.000, 0.500, 0.500], [0.500, 0.000, 0.500], [0.500, 0.500, 0.000], [0.263, 0.500, 0.254], [0.264, 0.000, 0.756], [0.736, 0.000, 0.244], [0.737, 0.500, 0.746]]
}

***

No. 8
{
  "formula": "La2YScBi4",
  "functional": "PBE",
  "state": "relaxed",
  "formation_energy_mev_per_atom": -901,
  "vol_a3_per_cell": 265.4,
  "lattice_angstrom": [[7.833, 0.000, 0.000], [0.000, 4.560, 0.000], [-2.651, 0.000, 7.431]],
  "species": ["La", "La", "Y", "Sc", "Bi", "Bi", "Bi", "Bi"],
  "frac_coords": [[0.000, 0.000, 0.000], [0.000, 0.500, 0.500], [0.500, 0.000, 0.500], [0.500, 0.500, 0.000], [0.267, 0.500, 0.249], [0.272, 0.000, 0.764], [0.728, 0.000, 0.236], [0.733, 0.500, 0.751]]
}

***

No. 9
{
  "formula": "La3Bi5Se12",
  "functional": "PBE",
  "state": "relaxed",
  "vol_a3_per_cell": 2639.5,
  "raw_formation_energy_ev_per_atom": -0.891,
  "lattice_angstrom": [[-8.706, 8.706, 8.706], [8.706, -8.706, 8.706], [8.706, 8.706, -8.706]],
  "species": ["La", "La", "La", "La", "La", "La", "La", "La", "La", "La", "La", "La", "Bi", "Bi", "Bi", "Bi", "Bi", "Bi", "Bi", "Bi", "Bi", "Bi", "Bi", "Bi", "Bi", "Bi", "Bi", "Bi", "Bi", "Bi", "Bi", "Bi", "Se", "Se", "Se", "Se", "Se", "Se", "Se", "Se", "Se", "Se", "Se", "Se", "Se", "Se", "Se", "Se", "Se", "Se", "Se", "Se", "Se", "Se", "Se", "Se", "Se", "Se", "Se", "Se", "Se", "Se", "Se", "Se", "Se", "Se", "Se", "Se", "Se", "Se", "Se", "Se", "Se", "Se", "Se", "Se", "Se", "Se", "Se", "Se"],
  "frac_coords": [[0.125, 0.250, 0.375], [0.125, 0.375, 0.750], [0.250, 0.375, 0.125], [0.250, 0.875, 0.625], [0.375, 0.125, 0.250], [0.375, 0.750, 0.125], [0.625, 0.250, 0.875], [0.625, 0.875, 0.750], [0.750, 0.125, 0.375], [0.750, 0.625, 0.875], [0.875, 0.625, 0.250], [0.875, 0.750, 0.625], [0.000, 0.000, 0.000], [0.000, 0.000, 0.500], [0.000, 0.500, 0.000], [0.000, 0.500, 0.500], [0.125, 0.750, 0.875], [0.125, 0.875, 0.250], [0.250, 0.125, 0.875], [0.250, 0.625, 0.375], [0.375, 0.250, 0.625], [0.375, 0.625, 0.750], [0.500, 0.000, 0.000], [0.500, 0.000, 0.500], [0.500, 0.500, 0.000], [0.500, 0.500, 0.500], [0.625, 0.375, 0.250], [0.625, 0.750, 0.375], [0.750, 0.375, 0.625], [0.750, 0.875, 0.125], [0.875, 0.125, 0.750], [0.875, 0.250, 0.125], [0.052, 0.222, 0.137], [0.052, 0.330, 0.915], [0.085, 0.637, 0.415], [0.085, 0.722, 0.670], [0.085, 0.863, 0.415], [0.085, 0.948, 0.670], [0.137, 0.052, 0.222], [0.137, 0.585, 0.915], [0.170, 0.222, 0.585], [0.170, 0.448, 0.585], [0.222, 0.137, 0.052], [0.222, 0.585, 0.170], [0.278, 0.330, 0.915], [0.278, 0.448, 0.363], [0.330, 0.915, 0.052], [0.330, 0.915, 0.278], [0.363, 0.278, 0.448], [0.363, 0.585, 0.915], [0.415, 0.085, 0.637], [0.415, 0.085, 0.863], [0.415, 0.830, 0.552], [0.415, 0.830, 0.778], [0.448, 0.363, 0.278], [0.448, 0.585, 0.170], [0.552, 0.415, 0.830], [0.552, 0.637, 0.722], [0.585, 0.170, 0.222], [0.585, 0.170, 0.448], [0.585, 0.915, 0.137], [0.585, 0.915, 0.363], [0.637, 0.415, 0.085], [0.637, 0.722, 0.552], [0.670, 0.085, 0.722], [0.670, 0.085, 0.948], [0.722, 0.552, 0.637], [0.722, 0.670, 0.085], [0.778, 0.415, 0.830], [0.778, 0.863, 0.948], [0.830, 0.552, 0.415], [0.830, 0.778, 0.415], [0.863, 0.415, 0.085], [0.863, 0.948, 0.778], [0.915, 0.052, 0.330], [0.915, 0.137, 0.585], [0.915, 0.278, 0.330], [0.915, 0.363, 0.585], [0.948, 0.670, 0.085], [0.948, 0.778, 0.863]]
}

***

No. 10
{
  "formula": "La5Bi4Se",
  "functional": "PBE",
  "state": "relaxed",
  "vol_a3_per_cell": 351.9,
  "raw_formation_energy_ev_per_atom": -1.232,
  "lattice_angstrom": [[-2.314, 3.285, 11.577], [2.314, -3.285, 11.577], [2.314, 3.285, -11.577]],
  "species": ["La", "La", "La", "La", "La", "Bi", "Bi", "Bi", "Bi", "Se"],
  "frac_coords": [[0.000, 0.000, 0.000], [0.201, 0.201, 0.000], [0.406, 0.406, 0.000], [0.594, 0.594, 0.000], [0.799, 0.799, 0.000], [0.100, 0.600, 0.500], [0.304, 0.804, 0.500], [0.696, 0.196, 0.500], [0.900, 0.400, 0.500], [0.500, 0.000, 0.500]]
}

***

No. 11
{
  "formula": "LaBi3Se",
  "functional": "PBE",
  "state": "relaxed",
  "relative_energy_kj_per_mol_atoms": 0.00,
  "vol_a3_per_cell": 174.1,
  "raw_formation_energy_ev_per_atom": -0.055,
  "lattice_angstrom": [[5.583, 0.000, 0.000], [0.000, 5.583, 0.000], [0.000, 0.000, 5.583]],
  "species": ["La", "Bi", "Bi", "Bi", "Se"],
  "frac_coords": [[0.000, 0.000, 0.000], [0.000, 0.500, 0.500], [0.500, 0.000, 0.500], [0.500, 0.500, 0.000], [0.500, 0.500, 0.500]]
}

***

No. 12
{
  "formula": "LaBi3Se",
  "functional": "PBE",
  "state": "relaxed",
  "relative_energy_kj_per_mol_atoms": 74.27,
  "vol_a3_per_cell": 233.7,
  "raw_formation_energy_ev_per_atom": 0.715,
  "lattice_angstrom": [[6.160, 0.000, 0.000], [0.000, 6.160, 0.000], [0.000, 0.000, 6.160]],
  "species": ["La", "Bi", "Bi", "Bi", "Se"],
  "frac_coords": [[0.000, 0.000, 0.000], [0.000, 0.000, 0.500], [0.000, 0.500, 0.000], [0.500, 0.000, 0.000], [0.500, 0.500, 0.500]]
}

***

| no. | M_tot (μB/cell) |
| --- | --- |
| 1 | 0.00 |
| 2 | 0.00 |
| 3 | 0.00 |
| 4 | 0.00 |
| 5 | 0.00 |
| 6 | 0.00 |
| 7 | 0.00 |
| 8 | 0.00 |
| 9 | 0.00 |
| 10 | 0.00 |
| 11 | 0.00 |
| 12 | 1.67 |